(1)
The following is a DFT calculation (PBE) of a relaxed structure of Ce2Ga5Ag.

Results
Space group: No. 107

a b c (Å): 6.1997 6.1997 6.1997
angles (deg): 89.79 120.12 120.12
Closest atoms and distances in Å follow each position.
Positions (direct):
Ga  0.0000  0.2911  0.7478  1 Ag 2.80, 3 Ga 2.83-3.05, 4 Ce 3.10-3.11
Ga  0.0000  0.2572  0.2572  8 Ga 3.05-3.16, 4 Ce 3.10
Ga  0.0000  0.7478  0.2911  1 Ag 2.80, 3 Ga 2.83-3.05, 4 Ce 3.10-3.11
Ga  0.5433  0.2911  0.2911  1 Ag 2.80, 3 Ga 2.83-3.05, 4 Ce 3.10-3.11
Ga  0.4567  0.7478  0.7478  1 Ag 2.80, 3 Ga 2.83-3.05, 4 Ce 3.10-3.11
Ce  0.5000  0.2683  0.7683  10 Ga 3.10-3.11, 2 Ag 3.18
Ce  0.5000  0.7683  0.2683  10 Ga 3.10-3.11, 2 Ag 3.18
Ag  0.0000  0.8504  0.8504  4 Ga 2.80

(2)
The following is a DFT calculation (PBE) of a relaxed structure of CeGa3Ag.

Results
Space group: No. 42

a b c (Å): 4.3425 4.3426 6.2431
angles (deg): 69.75 69.75 90.24
Closest atoms and distances in Å follow each position.
Positions (direct):
Ga  0.1523  0.4562  0.4001  2 Ag 2.59, 2 Ga 2.66
Ga  0.7930  0.5966  0.1187  1 Ag 2.50, 4 Ga 2.66
Ga  0.6528  0.9562  0.4000  2 Ag 2.59, 2 Ga 2.66
Ce  0.3863  0.1896  0.9330  8 Ga 3.22-3.34, 4 Ag 3.41-3.42
Ag  0.0234  0.8266  0.6593  5 Ga 2.50-2.59

(3)
The following is a DFT calculation (PBE) of a relaxed structure of CeGa4Ag2.

Results
Space group: No. 71

a b c (Å): 4.3832 3.0078 10.4446
angles (deg): 98.28 102.11 90.00
Closest atoms and distances in Å follow each position.
Positions (direct):
Ga  0.0812  0.5812  0.1624  2 Ga 2.61
Ga  0.3486  0.3486  0.6972  2 Ga 2.61, 1 Ag 2.75
Ga  0.6514  0.6514  0.3028  2 Ga 2.61, 1 Ag 2.75
Ga  0.9188  0.4188  0.8376  2 Ga 2.61
Ag  0.2123  0.2123  0.4246  7 Ga 2.75-3.05, 6 Ag 3.01-3.06
Ag  0.7877  0.7877  0.5754  7 Ga 2.75-3.05, 6 Ag 3.01-3.06
Ce  0.5000  0.0000  0.0000  2 Ce 3.01, 8 Ga 3.12

(4)
The following is a DFT calculation (PBE) of a relaxed structure of CeGa2Ag.

Results
Space group: No. 123

a b c (Å): 4.3402 4.4427 4.4427
angles (deg): 90.00 90.00 90.00
Closest atoms and distances in Å follow each position.
Positions (direct):
Ga  0.0000  0.5000  0.0000  4 Ce 3.11, 4 Ag 3.11, 4 Ga 3.14
Ga  0.0000  0.0000  0.5000  4 Ce 3.11, 4 Ag 3.11, 4 Ga 3.14
Ag  0.5000  0.0000  0.0000  8 Ga 3.11, 4 Ce 3.14
Ce  0.5000  0.5000  0.5000  8 Ga 3.11, 4 Ag 3.14

(5)
The following is a DFT calculation (PBE) of a relaxed structure of CeGaAg3.

Results
Space group: No. 59

a b c (Å): 4.9274 6.4195 6.6119
angles (deg): 90.00 90.00 89.98
Closest atoms and distances in Å follow each position.
Positions (direct):
Ag  0.9757  0.1193  0.7008  1 Ga 2.52
Ag  0.4757  0.9163  0.4974  2 Ag 2.69-2.83, 1 Ga 2.71
Ag  0.4755  0.2335  0.2008  1 Ga 2.52
Ag  0.9756  0.4365  0.9975  2 Ag 2.69-2.83, 1 Ga 2.71
Ag  0.4756  0.9162  0.9041  2 Ag 2.69-2.83, 1 Ga 2.71
Ag  0.9756  0.4365  0.4041  2 Ag 2.69-2.83, 1 Ga 2.71
Ce  0.9756  0.9218  0.2008  2 Ga 3.11, 8 Ag 3.15-3.39
Ce  0.4756  0.4310  0.7008  2 Ga 3.11, 8 Ag 3.15-3.39
Ga  0.9756  0.7267  0.7008  3 Ag 2.52-2.71
Ga  0.4759  0.6261  0.2008  3 Ag 2.52-2.71

(6)
The following is a DFT calculation (PBE) of a relaxed structure of CeGa4Ag4.

Results
Space group: No. 137

a b c (Å): 6.2827 6.2827 9.1016
angles (deg): 90.00 90.00 90.00
Closest atoms and distances in Å follow each position.
Positions (direct):
Ga  0.0000  0.7165  0.7032  5 Ag 2.65-2.73, 1 Ga 2.72
Ga  0.7165  0.0000  0.2968  5 Ag 2.65-2.73, 1 Ga 2.72
Ga  0.0000  0.2835  0.7032  5 Ag 2.65-2.73, 1 Ga 2.72
Ga  0.7835  0.5000  0.2032  5 Ag 2.65-2.73, 1 Ga 2.72
Ga  0.2165  0.5000  0.2032  5 Ag 2.65-2.73, 1 Ga 2.72
Ga  0.2835  0.0000  0.2968  5 Ag 2.65-2.73, 1 Ga 2.72
Ga  0.5000  0.7835  0.7968  5 Ag 2.65-2.73, 1 Ga 2.72
Ga  0.5000  0.2165  0.7968  5 Ag 2.65-2.73, 1 Ga 2.72
Ag  0.0000  0.7239  0.4123  5 Ga 2.65-2.73, 3 Ag 2.81-2.93
Ag  0.5000  0.7761  0.0877  5 Ga 2.65-2.73, 3 Ag 2.81-2.93
Ag  0.0000  0.2761  0.4123  5 Ga 2.65-2.73, 3 Ag 2.81-2.93
Ag  0.2239  0.5000  0.9123  5 Ga 2.65-2.73, 3 Ag 2.81-2.93
Ag  0.7239  0.0000  0.5877  5 Ga 2.65-2.73, 3 Ag 2.81-2.93
Ag  0.5000  0.2239  0.0877  5 Ga 2.65-2.73, 3 Ag 2.81-2.93
Ag  0.2761  0.0000  0.5877  5 Ga 2.65-2.73, 3 Ag 2.81-2.93
Ag  0.7761  0.5000  0.9123  5 Ga 2.65-2.73, 3 Ag 2.81-2.93
Ce  0.0000  0.0000  0.0000  4 Ga 3.24, 8 Ag 3.53
Ce  0.5000  0.5000  0.5000  4 Ga 3.24, 8 Ag 3.53

(7)
The following is a DFT calculation (PBE) of a relaxed structure of CeGaAg4.

Results
Space group: No. 63

a b c (Å): 5.0851 7.3870 7.3955
angles (deg): 90.00 110.11 90.00
Closest atoms and distances in Å follow each position.
Positions (direct):
Ce  0.6176  0.2500  0.2352  7 Ag 3.05-3.31, 1 Ga 3.39
Ce  0.3824  0.7500  0.7648  7 Ag 3.05-3.31, 1 Ga 3.39
Ag  0.3983  0.2500  0.7966  2 Ga 2.59, 2 Ag 2.90
Ag  0.0000  0.5000  0.0000  2 Ga 2.67
Ag  0.7863  0.9344  0.5726  1 Ga 2.55, 1 Ag 2.72
Ag  0.2137  0.0656  0.4274  1 Ga 2.55, 1 Ag 2.72
Ag  0.0000  0.0000  0.0000  2 Ga 2.67
Ag  0.7863  0.5656  0.5726  1 Ga 2.55, 1 Ag 2.72
Ag  0.6017  0.7500  0.2034  2 Ga 2.59, 2 Ag 2.90
Ag  0.2137  0.4344  0.4274  1 Ga 2.55, 1 Ag 2.72
Ga  0.1386  0.7500  0.2773  6 Ag 2.55-2.67
Ga  0.8614  0.2500  0.7227  6 Ag 2.55-2.67

(8)
The following is a DFT calculation (PBE) of a relaxed structure of Ce3Ga2Ag4.

Results
Space group: No. 12

a b c (Å): 4.8135 5.8330 8.9861
angles (deg): 117.50 90.00 114.37
Closest atoms and distances in Å follow each position.
Positions (direct):
Ag  0.9342  0.8684  0.6049  2 Ga 2.76, 1 Ag 2.86
Ag  0.2871  0.5741  0.9475  1 Ga 2.75, 2 Ag 2.84
Ag  0.0658  0.1316  0.3951  2 Ga 2.76, 1 Ag 2.86
Ag  0.7129  0.4259  0.0525  1 Ga 2.75, 2 Ag 2.84
Ce  0.6644  0.3288  0.6667  8 Ag 3.18-3.27, 4 Ga 3.21-3.24, 2 Ce 3.25-3.30
Ce  0.0000  0.0000  0.0000  8 Ag 3.17-3.31, 4 Ga 3.24, 2 Ce 3.30
Ce  0.3356  0.6712  0.3333  8 Ag 3.18-3.27, 4 Ga 3.21-3.24, 2 Ce 3.25-3.30
Ga  0.6123  0.2246  0.2800  3 Ag 2.75-2.76
Ga  0.3877  0.7754  0.7200  3 Ag 2.75-2.76

Number 1: E_tot -32.97 eV for the cell shown. Number 2: E_tot -19.81 eV for the cell shown. Number 3: E_tot -25.09 eV for the cell shown. Number 4: E_tot -15.92 eV for the cell shown. Number 5: E_tot -36.84 eV for the cell shown. Number 6: E_tot -61.11 eV for the cell shown. Number 7: E_tot -40.61 eV for the cell shown. Number 8: E_tot -38.02 eV for the cell shown.